# 1
The following is a PBE-GGA calculation of a relaxed structure of Cu2SnTe, from Alexandria via LeMat-Bulk.

Output
**Total moment**: 0.00 μB/f.u.
**V**: 24.91 A^3/atom
**Energy relative to the elements, uncorrected**: 4.481 kcal/mol of atoms
**SG**: I-42d, No. 122

Unit cell a=6.4450 b=6.4450 c=6.6165 alpha=60.85 beta=60.85 gamma=90.00
Fractional positions:
Cu 0.8750 0.8860 0.7500
Cu 0.6360 0.1250 0.2500
Cu 0.1140 0.6250 0.2500
Cu 0.3750 0.3640 0.7500
Sn 0.2500 0.7500 0.5000
Sn 0.5000 0.5000 0.0000
Te 0.7500 0.2500 0.5000
Te 0.0000 0.0000 0.0000

***

# 2
The following is a PBE-GGA calculation of a relaxed structure of CuSnTe2, from Alexandria via LeMat-Bulk.

Output
**Total moment**: 0.00 μB/f.u.
**V**: 27.34 A^3/atom
**Energy relative to the elements, uncorrected**: 2.165 kcal/mol of atoms
**SG**: R-3m, No. 166

Unit cell a=9.8921 b=9.8921 c=9.8921 alpha=21.05 beta=21.05 gamma=21.05
Fractional positions:
Te 0.1092 0.1092 0.1092
Te 0.8908 0.8908 0.8908
Sn 0.0000 0.0000 0.0000
Cu 0.5000 0.5000 0.5000

***

# 3
The following is a PBE-GGA calculation of a relaxed structure of Tl2CuSnTe, from Alexandria via LeMat-Bulk.

Output
**Total moment**: 0.00 μB/f.u.
**Energy above the lowest structure with this stoichiometry**: 0.413 eV per atom
**V**: 37.89 A^3/atom
**Energy relative to the elements, uncorrected**: 10.259 kcal/mol of atoms
**SG**: P4/mmm, No. 123

Unit cell a=6.3894 b=4.6409 c=6.3894 alpha=90.00 beta=90.00 gamma=90.00
Fractional positions:
Te 0.0000 0.0000 0.0000
Sn 0.5000 0.5000 0.5000
Cu 0.0000 0.5000 0.0000
Tl 0.5000 0.0000 0.0000
Tl 0.0000 0.0000 0.5000

***

# 4
The following is a PBE-GGA calculation of a relaxed structure of TlCuSnTe3, from Alexandria via LeMat-Bulk.

Output
**Total moment**: 0.00 μB/f.u.
**V**: 32.07 A^3/atom
**Energy relative to the elements, uncorrected**: -4.141 kcal/mol of atoms
**SG**: P2_1/m, No. 11

Unit cell a=4.2533 b=9.7799 c=9.7151 alpha=107.75 beta=90.00 gamma=90.00
Fractional positions:
Te 0.2500 0.1119 0.8477
Te 0.2500 0.5464 0.8283
Te 0.7500 0.8881 0.1523
Te 0.7500 0.4536 0.1717
Te 0.2500 0.7864 0.4742
Te 0.7500 0.2136 0.5258
Cu 0.7500 0.9339 0.4381
Cu 0.2500 0.0661 0.5619
Sn 0.2500 0.6691 0.1488
Sn 0.7500 0.3309 0.8512
Tl 0.7500 0.8127 0.7805
Tl 0.2500 0.1873 0.2195

***

# 5
The following is a PBE-GGA calculation of a relaxed structure of Tl2CuSnTe, from Alexandria via LeMat-Bulk.

Output
**Total moment**: 0.00 μB/f.u.
**Energy above the lowest structure with this stoichiometry**: 0.000 eV per atom
**V**: 28.86 A^3/atom
**Energy relative to the elements, uncorrected**: 0.742 kcal/mol of atoms
**SG**: P4/mmm, No. 123

Unit cell a=5.2856 b=5.2856 c=5.1645 alpha=90.00 beta=90.00 gamma=90.00
Fractional positions:
Tl 0.5000 0.0000 0.0000
Tl 0.0000 0.5000 0.0000
Cu 0.0000 0.0000 0.0000
Te 0.5000 0.5000 0.5000
Sn 0.0000 0.0000 0.5000

***

# 6
The following is a PBE-GGA calculation of a relaxed structure of TmCuSnTe3, from Alexandria via LeMat-Bulk.

Output
**Total moment**: 0.00 μB/f.u.
**V**: 29.53 A^3/atom
**Energy relative to the elements, uncorrected**: -14.706 kcal/mol of atoms
**SG**: P2_1/m, No. 11

Unit cell a=4.2463 b=9.0183 c=9.5605 alpha=104.57 beta=90.00 gamma=90.00
Fractional positions:
Cu 0.2500 0.0746 0.5730
Cu 0.7500 0.9254 0.4270
Te 0.7500 0.2308 0.5069
Te 0.2500 0.7692 0.4931
Te 0.2500 0.5695 0.8366
Te 0.7500 0.4305 0.1634
Te 0.2500 0.0953 0.8641
Te 0.7500 0.9047 0.1359
Tm 0.2500 0.6748 0.1689
Tm 0.7500 0.3252 0.8311
Sn 0.2500 0.1840 0.2388
Sn 0.7500 0.8160 0.7612